(1)
# Co2SiMo (GGA-PBE, relaxed)
data_Co2SiMo
_chemical_formula_sum 'Co2 Si1 Mo1'
_symmetry_space_group_name_H-M 'P 1 2/m 1'
_symmetry_Int_Tables_number 10
_cell_length_a 2.648
_cell_length_b 3.857
_cell_length_c 4.921
_cell_angle_alpha 90.00
_cell_angle_beta 102.92
_cell_angle_gamma 90.00
loop_
_symmetry_equiv_pos_as_xyz
'x,y,z'
'-x,-y,-z'
'-x,y,-z'
'x,-y,z'
loop_
_atom_site_label
_atom_site_fract_x
_atom_site_fract_y
_atom_site_fract_z
_atom_site_occupancy
Co1 0.145 0.000 0.261 1
Si1 0.000 0.500 0.500 1
Mo1 0.500 0.500 0.000 1
# uncorrected formation energy	-152	meV per atom
# calculated volume	49	Å³ per cell
# density	8200	kg/m3

---

(2)
# Co2SiMo (GGA-PBE, relaxed)
data_Co2SiMo
_chemical_formula_sum 'Co2 Si1 Mo1'
_symmetry_space_group_name_H-M 'P 4 m m'
_symmetry_Int_Tables_number 99
_cell_length_a 2.803
_cell_length_b 2.803
_cell_length_c 6.184
_cell_angle_alpha 90.00
_cell_angle_beta 90.00
_cell_angle_gamma 90.00
loop_
_symmetry_equiv_pos_as_xyz
'x,y,z'
'-y,x,z'
'-x,-y,z'
'y,-x,z'
'-x,y,z'
'y,x,z'
'x,-y,z'
'-y,-x,z'
loop_
_atom_site_label
_atom_site_fract_x
_atom_site_fract_y
_atom_site_fract_z
_atom_site_occupancy
Co1 0.000 0.000 0.000 1
Co2 0.500 0.500 0.257 1
Si1 0.500 0.500 0.808 1
Mo1 0.000 0.000 0.518 1
# uncorrected formation energy	-156	meV per atom
# calculated volume	49	Å³ per cell
# density	8269	kg/m3

---

(3)
# CoSi2Mo (GGA-PBE, relaxed)
data_CoSi2Mo
_chemical_formula_sum 'Co2 Si4 Mo2'
_symmetry_space_group_name_H-M 'C m m m'
_symmetry_Int_Tables_number 65
_symmetry_space_group_name_Hall '-C 2 2'
_cell_length_a 3.457
_cell_length_b 4.247
_cell_length_c 6.938
_cell_angle_alpha 90.00
_cell_angle_beta 90.00
_cell_angle_gamma 90.00
loop_
_atom_site_label
_atom_site_fract_x
_atom_site_fract_y
_atom_site_fract_z
_atom_site_occupancy
Co1 0.000 0.000 0.000 1
Si1 0.000 0.500 0.222 1
Mo1 0.000 0.000 0.500 1
# uncorrected formation energy	-168	meV per atom
# calculated volume	102	Å³ per cell
# density	6879	kg/m3

---

(4)
# CoSi2Mo (GGA-PBE, relaxed)
data_CoSi2Mo
_chemical_formula_sum 'Co1 Si2 Mo1'
_symmetry_space_group_name_H-M 'P 1 m 1'
_symmetry_Int_Tables_number 6
_cell_length_a 2.689
_cell_length_b 4.186
_cell_length_c 4.642
_cell_angle_alpha 90.00
_cell_angle_beta 90.04
_cell_angle_gamma 90.00
loop_
_symmetry_equiv_pos_as_xyz
'x,y,z'
'x,-y,z'
loop_
_atom_site_label
_atom_site_fract_x
_atom_site_fract_y
_atom_site_fract_z
_atom_site_occupancy
Co1 0.000 0.000 0.000 1
Si1 0.000 0.500 0.785 1
Si2 0.002 0.000 0.495 1
Mo1 0.500 0.500 0.277 1
# uncorrected formation energy	-182	meV per atom
# calculated volume	52	Å³ per cell
# density	6707	kg/m3

---

(5)
# CoSiMo2 (GGA-PBE, relaxed)
data_CoSiMo2
_chemical_formula_sum 'Co1 Si1 Mo2'
_symmetry_space_group_name_H-M 'P m m m'
_symmetry_Int_Tables_number 47
_cell_length_a 3.236
_cell_length_b 4.103
_cell_length_c 4.112
_cell_angle_alpha 90.00
_cell_angle_beta 90.00
_cell_angle_gamma 90.00
loop_
_symmetry_equiv_pos_as_xyz
'x,y,z'
'-x,-y,-z'
'-x,-y,z'
'x,y,-z'
'x,-y,-z'
'-x,y,z'
'-x,y,-z'
'x,-y,z'
loop_
_atom_site_label
_atom_site_fract_x
_atom_site_fract_y
_atom_site_fract_z
_atom_site_occupancy
Co1 0.000 0.000 0.000 1
Si1 0.500 0.500 0.000 1
Mo1 0.000 0.500 0.500 1
Mo2 0.500 0.000 0.500 1
# uncorrected formation energy	-106	meV per atom
# calculated volume	55	Å³ per cell
# density	8483	kg/m3

---

(6)
# Co4SiMo (GGA-PBE, relaxed)
data_Co4SiMo
_chemical_formula_sum 'Co16 Si4 Mo4'
_symmetry_space_group_name_H-M 'F -4 3 m'
_symmetry_Int_Tables_number 216
_symmetry_space_group_name_Hall 'F -4 2 3'
_cell_length_a 6.531
_cell_length_b 6.531
_cell_length_c 6.531
_cell_angle_alpha 90.00
_cell_angle_beta 90.00
_cell_angle_gamma 90.00
loop_
_atom_site_label
_atom_site_fract_x
_atom_site_fract_y
_atom_site_fract_z
_atom_site_occupancy
Co1 0.125 0.125 0.125 1
Si1 0.000 0.000 0.500 1
Mo1 0.250 0.250 0.750 1
# uncorrected formation energy	67	meV per atom
# calculated volume	279	Å³ per cell
# density	8578	kg/m3

---

(7)
# Co2SiMo (GGA-PBE, relaxed)
data_Co2SiMo
_chemical_formula_sum 'Co4 Si2 Mo2'
_symmetry_space_group_name_H-M 'I m m 2'
_symmetry_Int_Tables_number 44
_cell_length_a 2.791
_cell_length_b 4.164
_cell_length_c 8.398
_cell_angle_alpha 90.00
_cell_angle_beta 90.00
_cell_angle_gamma 90.00
loop_
_symmetry_equiv_pos_as_xyz
'x,y,z'
'-x,-y,z'
'-x,y,z'
'x,-y,z'
'x+1/2,y+1/2,z+1/2'
'-x+1/2,-y+1/2,z+1/2'
'-x+1/2,y+1/2,z+1/2'
'x+1/2,-y+1/2,z+1/2'
loop_
_atom_site_label
_atom_site_fract_x
_atom_site_fract_y
_atom_site_fract_z
_atom_site_occupancy
Co1 0.000 0.000 0.000 1
Co2 0.000 0.500 0.226 1
Si1 0.000 0.000 0.517 1
Mo1 0.000 0.500 0.767 1
# uncorrected formation energy	-160	meV per atom
# calculated volume	98	Å³ per cell
# density	8232	kg/m3

---

(8)
# Co2SiMo (GGA-PBE, relaxed)
data_Co2SiMo
_chemical_formula_sum 'Co4 Si2 Mo2'
_symmetry_space_group_name_H-M 'C m m m'
_symmetry_Int_Tables_number 65
_symmetry_space_group_name_Hall '-C 2 2'
_cell_length_a 5.235
_cell_length_b 6.935
_cell_length_c 2.678
_cell_angle_alpha 90.00
_cell_angle_beta 90.00
_cell_angle_gamma 90.00
loop_
_atom_site_label
_atom_site_fract_x
_atom_site_fract_y
_atom_site_fract_z
_atom_site_occupancy
Co1 0.250 0.250 0.000 1
Si1 0.000 0.000 0.500 1
Mo1 0.000 0.500 0.500 1
# uncorrected formation energy	-97	meV per atom
# calculated volume	97	Å³ per cell
# density	8262	kg/m3

---

(9)
# CoSi2Mo (GGA-PBE, relaxed)
data_CoSi2Mo
_chemical_formula_sum 'Co3 Si6 Mo3'
_symmetry_space_group_name_H-M 'R -3 m'
_symmetry_Int_Tables_number 166
_symmetry_space_group_name_Hall '-R 3 2"'
_cell_length_a 2.7666
_cell_length_b 2.7666
_cell_length_c 23.4783
_cell_angle_alpha 90.00
_cell_angle_beta 90.00
_cell_angle_gamma 120.00
loop_
_atom_site_label
_atom_site_fract_x
_atom_site_fract_y
_atom_site_fract_z
_atom_site_occupancy
Co1 0.0000 0.0000 0.0000 1
Si1 0.0000 0.0000 0.2584 1
Mo1 0.0000 0.0000 0.5000 1
# uncorrected formation energy	-164	meV per atom
# calculated volume	156	Å³ per cell
# density	6755	kg/m3

---

(10)
# CoSi2Mo (GGA-PBE, relaxed)
data_CoSi2Mo
_chemical_formula_sum 'Co2 Si4 Mo2'
_symmetry_space_group_name_H-M 'C 1 2/m 1'
_symmetry_Int_Tables_number 12
_cell_length_a 7.805
_cell_length_b 2.687
_cell_length_c 5.022
_cell_angle_alpha 90.00
_cell_angle_beta 101.49
_cell_angle_gamma 90.00
loop_
_symmetry_equiv_pos_as_xyz
'x,y,z'
'-x,-y,-z'
'-x,y,-z'
'x,-y,z'
'x+1/2,y+1/2,z'
'-x+1/2,-y+1/2,-z'
'-x+1/2,y+1/2,-z'
'x+1/2,-y+1/2,z'
loop_
_atom_site_label
_atom_site_fract_x
_atom_site_fract_y
_atom_site_fract_z
_atom_site_occupancy
Co1 0.000 0.000 0.000 1
Si1 0.240 0.500 0.217 1
Mo1 0.000 0.500 0.500 1
# uncorrected formation energy	-201	meV per atom
# calculated volume	103	Å³ per cell
# density	6792	kg/m3

---

(11)
# CoSiMo2 (GGA-PBE, relaxed)
data_CoSiMo2
_chemical_formula_sum 'Co4 Si4 Mo8'
_symmetry_space_group_name_H-M 'I -4 2 d'
_symmetry_Int_Tables_number 122
_symmetry_space_group_name_Hall 'I -4 2bw'
_cell_length_a 6.667
_cell_length_b 6.667
_cell_length_c 5.260
_cell_angle_alpha 90.00
_cell_angle_beta 90.00
_cell_angle_gamma 90.00
loop_
_atom_site_label
_atom_site_fract_x
_atom_site_fract_y
_atom_site_fract_z
_atom_site_occupancy
Co1 0.000 0.000 0.000 1
Si1 0.000 0.000 0.500 1
Mo1 0.242 0.750 0.125 1
# uncorrected formation energy	335	meV per atom
# calculated volume	234	Å³ per cell
# density	7923	kg/m3

---

(12)
# CoSiMo2 (GGA-PBE, relaxed)
data_CoSiMo2
_chemical_formula_sum 'Co2 Si2 Mo4'
_symmetry_space_group_name_H-M 'I m m m'
_symmetry_Int_Tables_number 71
_symmetry_space_group_name_Hall '-I 2 2'
_cell_length_a 3.625
_cell_length_b 3.719
_cell_length_c 8.048
_cell_angle_alpha 90.00
_cell_angle_beta 90.00
_cell_angle_gamma 90.00
loop_
_atom_site_label
_atom_site_fract_x
_atom_site_fract_y
_atom_site_fract_z
_atom_site_occupancy
Co1 0.000 0.000 0.000 1
Si1 0.000 0.000 0.500 1
Mo1 0.000 0.500 0.250 1
# uncorrected formation energy	-173	meV per atom
# calculated volume	108	Å³ per cell
# density	8538	kg/m3